[1]
First-principles (PBE) data for crystalline VNi4Ru at its relaxed geometry, as listed in Alexandria.

The energy above the most stable polymorph in this dataset is 0.0 meV per atom. The energy relative to the elements is -109 meV per atom.

The space group is Cmcm (No. 63) and the conventional cell measures 4.9236, 14.0448 and 4.0532 Å, with angles of 90.00, 90.00 and 90.00 degrees. Symmetry generates all atoms from V at (0.0000, 0.1234, 0.2500), Ni at (0.2486, 0.4586, 0.2500), Ni at (0.2499, 0.2079, 0.7500) and Ru at (0.0000, 0.3737, 0.7500).



[2]
First-principles (PBE) data for crystalline Dy4HoAl5 at its relaxed geometry, as listed in Alexandria.

The energy relative to the elements is -395 meV per atom.

The space group is P4/mmm (No. 123) and the conventional cell measures 3.5814, 3.5814 and 18.1192 Å, with angles of 90.00, 90.00 and 90.00 degrees. Symmetry generates all atoms from Dy at (0.0000, 0.0000, 0.1002), Dy at (0.0000, 0.0000, 0.3007), Ho at (0.0000, 0.0000, 0.5000), Al at (0.5000, 0.5000, 0.0000), Al at (0.5000, 0.5000, 0.2004) and Al at (0.5000, 0.5000, 0.4011).